Record 1
# LaBeFe3 | the Alexandria database | GGA-PBE | relaxed
data_LaBeFe3
_chemical_formula_sum 'La1 Be1 Fe3'
_cell_length_a 4.206
_cell_length_b 4.206
_cell_length_c 4.206
_cell_angle_alpha 90.00
_cell_angle_beta 90.00
_cell_angle_gamma 90.00
_symmetry_space_group_name_H-M 'P 1'
_symmetry_Int_Tables_number 1
_symmetry_space_group_name_Hall 'P 1'
loop_
_atom_site_label
_atom_site_type_symbol
_atom_site_fract_x
_atom_site_fract_y
_atom_site_fract_z
La1 La 0.000 0.000 0.000
Be1 Be 0.500 0.500 0.500
Fe1 Fe 0.000 0.500 0.500
Fe2 Fe 0.500 0.000 0.500
Fe3 Fe 0.500 0.500 0.000
# Energy above the lowest structure with this stoichiometry   0.0000 eV per atom
# Formation enthalpy at 0 K   0.37 eV/atom
# Raw total energy   -6.437 eV/atom


Record 2
# LaBe2Fe | the Alexandria database | GGA-PBE | relaxed
data_LaBe2Fe
_chemical_formula_sum 'La1 Be2 Fe1'
_cell_length_a 3.615
_cell_length_b 3.615
_cell_length_c 4.675
_cell_angle_alpha 90.00
_cell_angle_beta 90.00
_cell_angle_gamma 90.00
_symmetry_space_group_name_H-M 'P 1'
_symmetry_Int_Tables_number 1
_symmetry_space_group_name_Hall 'P 1'
loop_
_atom_site_label
_atom_site_type_symbol
_atom_site_fract_x
_atom_site_fract_y
_atom_site_fract_z
La1 La 0.000 0.000 0.000
Be1 Be 0.000 0.500 0.500
Be2 Be 0.500 0.000 0.500
Fe1 Fe 0.500 0.500 0.000
# Energy above the lowest structure with this stoichiometry   0.6514 eV per atom
# Formation enthalpy at 0 K   0.67 eV/atom
# Raw total energy   -4.545 eV/atom


Record 3
# LaBe2Fe | the Alexandria database | GGA-PBE | relaxed
data_LaBe2Fe
_chemical_formula_sum 'La1 Be2 Fe1'
_cell_length_a 3.025
_cell_length_b 3.522
_cell_length_c 6.067
_cell_angle_alpha 90.00
_cell_angle_beta 103.70
_cell_angle_gamma 90.00
_symmetry_space_group_name_H-M 'P 1'
_symmetry_Int_Tables_number 1
_symmetry_space_group_name_Hall 'P 1'
loop_
_atom_site_label
_atom_site_type_symbol
_atom_site_fract_x
_atom_site_fract_y
_atom_site_fract_z
La1 La 0.000 0.000 0.000
Be1 Be 0.651 0.500 0.312
Be2 Be 0.740 0.000 0.507
Fe1 Fe 0.278 0.500 0.579
# Energy above the lowest structure with this stoichiometry   0.2152 eV per atom
# Formation enthalpy at 0 K   0.23 eV/atom
# Raw total energy   -4.981 eV/atom


Record 4
# LaBe2Fe | the Alexandria database | GGA-PBE | relaxed
data_LaBe2Fe
_chemical_formula_sum 'La1 Be2 Fe1'
_cell_length_a 3.100
_cell_length_b 3.916
_cell_length_c 5.268
_cell_angle_alpha 90.00
_cell_angle_beta 106.71
_cell_angle_gamma 90.00
_symmetry_space_group_name_H-M 'P 1'
_symmetry_Int_Tables_number 1
_symmetry_space_group_name_Hall 'P 1'
loop_
_atom_site_label
_atom_site_type_symbol
_atom_site_fract_x
_atom_site_fract_y
_atom_site_fract_z
La1 La 0.000 0.000 0.000
Be1 Be 0.326 0.500 0.642
Be2 Be 0.674 0.500 0.358
Fe1 Fe 0.000 0.000 0.500
# Energy above the lowest structure with this stoichiometry   0.2748 eV per atom
# Formation enthalpy at 0 K   0.29 eV/atom
# Raw total energy   -4.921 eV/atom


Record 5
# LaBe2Fe | the Alexandria database | GGA-PBE | relaxed
data_LaBe2Fe
_chemical_formula_sum 'La2 Be4 Fe2'
_cell_length_a 4.009
_cell_length_b 4.009
_cell_length_c 7.491
_cell_angle_alpha 90.00
_cell_angle_beta 90.00
_cell_angle_gamma 90.00
_symmetry_space_group_name_H-M 'P 1'
_symmetry_Int_Tables_number 1
_symmetry_space_group_name_Hall 'P 1'
loop_
_atom_site_label
_atom_site_type_symbol
_atom_site_fract_x
_atom_site_fract_y
_atom_site_fract_z
La1 La 0.000 0.000 0.000
La2 La 0.500 0.500 0.500
Be1 Be 0.000 0.500 0.250
Be2 Be 0.000 0.500 0.750
Be3 Be 0.500 0.000 0.250
Be4 Be 0.500 0.000 0.750
Fe1 Fe 0.000 0.000 0.500
Fe2 Fe 0.500 0.500 0.000
# Energy above the lowest structure with this stoichiometry   0.4899 eV per atom
# Formation enthalpy at 0 K   0.50 eV/atom
# Raw total energy   -4.706 eV/atom


Record 6
# LaBeFe3 | the Alexandria database | GGA-PBE | relaxed
data_LaBeFe3
_chemical_formula_sum 'La1 Be1 Fe3'
_cell_length_a 4.578
_cell_length_b 4.578
_cell_length_c 4.578
_cell_angle_alpha 90.00
_cell_angle_beta 90.00
_cell_angle_gamma 90.00
_symmetry_space_group_name_H-M 'P 1'
_symmetry_Int_Tables_number 1
_symmetry_space_group_name_Hall 'P 1'
loop_
_atom_site_label
_atom_site_type_symbol
_atom_site_fract_x
_atom_site_fract_y
_atom_site_fract_z
La1 La 0.000 0.000 0.000
Be1 Be 0.500 0.500 0.500
Fe1 Fe 0.000 0.000 0.500
Fe2 Fe 0.000 0.500 0.000
Fe3 Fe 0.500 0.000 0.000
# Energy above the lowest structure with this stoichiometry   1.6082 eV per atom
# Formation enthalpy at 0 K   1.98 eV/atom
# Raw total energy   -4.829 eV/atom


Record 7
# LaBe2Fe | the Alexandria database | GGA-PBE | relaxed
data_LaBe2Fe
_chemical_formula_sum 'La4 Be8 Fe4'
_cell_length_a 6.290
_cell_length_b 6.290
_cell_length_c 6.290
_cell_angle_alpha 90.00
_cell_angle_beta 90.00
_cell_angle_gamma 90.00
_symmetry_space_group_name_H-M 'P 1'
_symmetry_Int_Tables_number 1
_symmetry_space_group_name_Hall 'P 1'
loop_
_atom_site_label
_atom_site_type_symbol
_atom_site_fract_x
_atom_site_fract_y
_atom_site_fract_z
La1 La 0.000 0.000 0.000
La2 La 0.000 0.500 0.500
La3 La 0.500 0.000 0.500
La4 La 0.500 0.500 0.000
Be1 Be 0.250 0.250 0.250
Be2 Be 0.250 0.250 0.750
Be3 Be 0.250 0.750 0.250
Be4 Be 0.250 0.750 0.750
Be5 Be 0.750 0.250 0.250
Be6 Be 0.750 0.250 0.750
Be7 Be 0.750 0.750 0.250
Be8 Be 0.750 0.750 0.750
Fe1 Fe 0.000 0.000 0.500
Fe2 Fe 0.000 0.500 0.000
Fe3 Fe 0.500 0.000 0.000
Fe4 Fe 0.500 0.500 0.500
# Energy above the lowest structure with this stoichiometry   0.5859 eV per atom
# Formation enthalpy at 0 K   0.60 eV/atom
# Raw total energy   -4.610 eV/atom


Record 8
# La4BeFe | the Alexandria database | GGA-PBE | relaxed
data_La4BeFe
_chemical_formula_sum 'La4 Be1 Fe1'
_cell_length_a 6.333
_cell_length_b 6.333
_cell_length_c 6.333
_cell_angle_alpha 60.00
_cell_angle_beta 60.00
_cell_angle_gamma 60.00
_symmetry_space_group_name_H-M 'P 1'
_symmetry_Int_Tables_number 1
_symmetry_space_group_name_Hall 'P 1'
loop_
_atom_site_label
_atom_site_type_symbol
_atom_site_fract_x
_atom_site_fract_y
_atom_site_fract_z
La1 La 0.125 0.125 0.125
La2 La 0.125 0.125 0.624
La3 La 0.125 0.624 0.125
La4 La 0.624 0.125 0.125
Be1 Be 0.750 0.750 0.750
Fe1 Fe 0.500 0.500 0.500
# Formation enthalpy at 0 K   0.97 eV/atom
# Raw total energy   -4.345 eV/atom


Question: Which value of raw total energy does entry 6 give?
Answer: -4.829 eV/atom